DFT (PBE+U) results for an optimized crystal structure of PaMnNbO6.

a b c (Å): 4.927 5.185 5.185
angles (deg): 120.00 90.00 90.00
Last column: magnetic moment on the atom in μB.
Fractional coordinates of all 9 atoms:
O 0.269 0.677 0.001  0.00
O 0.269 0.324 0.323  0.00
O 0.269 0.999 0.676  0.00
O 0.731 0.324 0.001  0.00
O 0.731 0.677 0.676  0.00
O 0.731 0.999 0.323  0.00
Nb 0.500 0.000 0.000  -0.09
Mn 0.500 0.667 0.333  1.06
Pa 0.000 0.333 0.667  -0.02

- Calculated total energy: -8.80 eV/atom
- Space group: No. 149
- M_tot: 1.00 μB/f.u.

***

DFT (PBE+U) results for an optimized crystal structure of LiAc3Cr2O9.

a b c (Å): 5.575 5.575 6.880
angles (deg): 90.00 90.00 120.00
Last column: magnetic moment on the atom in μB.
Fractional coordinates of all 15 atoms:
Ac 0.667 0.333 0.342  0.01
Ac 0.000 0.000 0.000  0.00
Ac 0.333 0.667 0.658  0.01
O 0.173 0.346 0.326  -0.04
O 0.000 0.500 0.000  -0.01
O 0.827 0.654 0.674  -0.04
O 0.346 0.173 0.674  -0.04
O 0.173 0.827 0.326  -0.04
O 0.654 0.827 0.326  -0.04
O 0.500 0.000 0.000  -0.01
O 0.500 0.500 0.000  -0.01
O 0.827 0.173 0.674  -0.04
Cr 0.667 0.333 0.827  2.07
Cr 0.333 0.667 0.173  2.07
Li 0.000 0.000 0.500  -0.01

- Calculated total energy: -7.54 eV/atom
- Space group: No. 164
- M_tot: 4.00 μB/f.u.